Computed, not measured: Li3MgNb after structural relaxation at the PBE level of DFT.

abc: 4.5140 4.5140 4.5140
angles: 90.00 90.00 90.00
Fractional positions:
Li 0.0000 0.5000 0.0000
Li 0.0000 0.0000 0.5000
Li 0.5000 0.0000 0.0000
Nb 0.5000 0.5000 0.5000
Mg 0.0000 0.0000 0.0000

Values from the calculation:
Crystal system: cubic
Calculated density: 2.5 Mg/m³
SG: No. 221
Formation energy: 1.06 eV/atom
Excess energy over the best structure of this formula in the dataset: 0.0 meV per atom
DOS at the Fermi energy: 5.2 states/eV per cell